Entry P
Below is an optimized crystal structure of Sb2OsPdW, with properties calculated at the PBE-GGA level.

POSCAR file:
```
Sb2OsPdW
1.0
5.0619 0.0000 0.0000
0.0000 4.8660 0.0000
0.0000 0.0000 5.0619
W Os Pd Sb
1 1 1 2
direct
0.0000 0.5000 0.0000
0.0000 0.0000 0.0000
0.5000 0.5000 0.5000
0.5000 0.0000 0.0000
0.0000 0.0000 0.5000
```

Results
- M_tot: 0.43 μB per atom
- Mass density: 9.64 g/cm³
- Fermi-level density of states: 0.9770 states/eV/atom


Entry Q
Below is an optimized crystal structure of Sb2OsPdW, with properties calculated at the PBE-GGA level.

POSCAR file:
```
Sb2OsPdW
1.0
5.1543 0.0000 0.0000
0.0000 4.7763 0.0000
0.0000 0.0000 5.1543
W Sb Pd Os
1 2 1 1
direct
0.0000 0.0000 0.0000
0.5000 0.0000 0.0000
0.0000 0.0000 0.5000
0.5000 0.5000 0.5000
0.0000 0.5000 0.0000
```

Results
- M_tot: 0.13 μB per atom
- Mass density: 9.47 g/cm³
- Fermi-level density of states: 0.9396 states/eV/atom


Which structure is the most stable? The one labeled entry P.


Entry P
Below is an optimized crystal structure of ScOsPd3, with properties calculated at the PBE-GGA level.

POSCAR file:
```
ScOsPd3
1.0
4.8030 0.0000 0.0000
0.0000 4.8030 0.0000
0.0000 0.0000 4.8030
Os Pd Sc
1 3 1
direct
0.0000 0.0000 0.0000
0.0000 0.5000 0.0000
0.0000 0.0000 0.5000
0.5000 0.0000 0.0000
0.5000 0.5000 0.5000
```

Results
- M_tot: 0.15 μB per atom
- Mass density: 8.31 g/cm³
- Fermi-level density of states: 1.6016 states/eV/atom


Entry Q
Below is an optimized crystal structure of ScOsPd3, with properties calculated at the PBE-GGA level.

POSCAR file:
```
ScOsPd3
1.0
4.6322 0.0000 0.0000
0.0000 4.6322 0.0000
0.0000 0.0000 4.6322
Pd Sc Os
3 1 1
direct
0.5000 0.0000 0.0000
0.0000 0.0000 0.5000
0.0000 0.5000 0.0000
0.0000 0.0000 0.0000
0.5000 0.5000 0.5000
```

Results
- M_tot: 0.49 μB per atom
- Mass density: 9.26 g/cm³
- Fermi-level density of states: 1.0167 states/eV/atom


Which structure is the most stable? The one labeled entry P.


Entry P
Below is an optimized crystal structure of ScOs2Pd, with properties calculated at the PBE-GGA level.

POSCAR file:
```
ScOs2Pd
1.0
3.7265 0.0000 0.0000
0.0000 3.7265 0.0000
1.8633 1.8633 9.8599
Os Pd Sc
4 2 2
direct
0.6507 0.1250 0.2500
0.3750 0.3493 0.7500
0.8750 0.9007 0.7500
0.0993 0.6250 0.2500
0.7500 0.2500 0.5000
0.0000 0.0000 0.0000
0.5000 0.5000 0.0000
0.2500 0.7500 0.5000
```

Results
- M_tot: 0.00 μB per atom
- Mass density: 12.90 g/cm³
- Fermi-level density of states: 0.8457 states/eV/atom


Entry Q
Below is an optimized crystal structure of ScOs2Pd, with properties calculated at the PBE-GGA level.

POSCAR file:
```
ScOs2Pd
1.0
-4.1005 -1.2703 1.2399
-2.5147 2.7092 2.5103
-3.5867 1.9937 -1.7680
Sc Os Pd
1 2 1
direct
0.0000 0.0000 0.0000
0.7500 0.7500 0.7500
0.2500 0.2500 0.2500
0.5000 0.5000 0.5000
```

Results
- M_tot: 0.00 μB per atom
- Mass density: 14.00 g/cm³
- Fermi-level density of states: 2.0052 states/eV/atom


Which structure is the most stable? The one labeled entry P.


Entry P
Below is an optimized crystal structure of Sc3OsPd, with properties calculated at the PBE-GGA level.

POSCAR file:
```
Sc3OsPd
1.0
4.9573 0.0000 0.0000
0.0000 4.9573 0.0000
0.0000 0.0000 4.9573
Sc Os Pd
3 1 1
direct
0.0000 0.0000 0.5000
0.5000 0.0000 0.0000
0.0000 0.5000 0.0000
0.0000 0.0000 0.0000
0.5000 0.5000 0.5000
```

Results
- M_tot: 0.00 μB per atom
- Mass density: 5.88 g/cm³
- Fermi-level density of states: 0.7576 states/eV/atom


Entry Q
Below is an optimized crystal structure of Sc3OsPd, with properties calculated at the PBE-GGA level.

POSCAR file:
```
Sc3OsPd
1.0
4.8658 0.0000 0.0000
0.0000 4.8658 0.0000
0.0000 0.0000 4.8658
Sc Os Pd
3 1 1
direct
0.0000 0.5000 0.0000
0.5000 0.0000 0.0000
0.0000 0.0000 0.5000
0.5000 0.5000 0.5000
0.0000 0.0000 0.0000
```

Results
- M_tot: 0.00 μB per atom
- Mass density: 6.22 g/cm³
- Fermi-level density of states: 0.9202 states/eV/atom


Which structure is the most stable? The one labeled entry P.


Entry P
Below is an optimized crystal structure of TmScOsPd, with properties calculated at the PBE-GGA level.

POSCAR file:
```
TmScOsPd
1.0
4.7060 0.0000 0.0000
2.3530 4.0755 0.0000
2.3530 1.3585 3.8424
Os Sc Tm Pd
1 1 1 1
direct
0.2500 0.2500 0.2500
0.0000 0.0000 0.0000
0.5000 0.5000 0.5000
0.7500 0.7500 0.7500
```

Results
- M_tot: 0.00 μB per atom
- Mass density: 11.50 g/cm³
- Fermi-level density of states: 0.4149 states/eV/atom


Entry Q
Below is an optimized crystal structure of TmScOsPd, with properties calculated at the PBE-GGA level.

POSCAR file:
```
TmScOsPd
1.0
3.3406 0.0000 0.0000
0.0000 3.3406 0.0000
0.0000 0.0000 6.6359
Os Pd Tm Sc
1 1 1 1
direct
0.0000 0.0000 0.3435
0.0000 0.0000 0.8679
0.5000 0.5000 0.5975
0.5000 0.5000 0.1191
```

Results
- M_tot: 0.00 μB per atom
- Mass density: 11.45 g/cm³
- Fermi-level density of states: 0.3551 states/eV/atom


Which structure is the most stable? The one labeled entry Q.


Entry P
Below is an optimized crystal structure of SiOs3Pd, with properties calculated at the PBE-GGA level.

POSCAR file:
```
SiOs3Pd
1.0
4.3625 0.0000 0.0000
0.0000 4.3625 0.0000
0.0000 0.0000 4.3625
Os Si Pd
3 1 1
direct
0.0000 0.5000 0.0000
0.5000 0.0000 0.0000
0.0000 0.0000 0.5000
0.0000 0.0000 0.0000
0.5000 0.5000 0.5000
```

Results
- M_tot: 0.00 μB per atom
- Mass density: 14.10 g/cm³
- Fermi-level density of states: 1.1510 states/eV/atom


Entry Q
Below is an optimized crystal structure of SiOs3Pd, with properties calculated at the PBE-GGA level.

POSCAR file:
```
SiOs3Pd
1.0
4.7145 0.0000 0.0000
0.0000 4.7145 0.0000
0.0000 0.0000 4.7145
Os Si Pd
3 1 1
direct
0.0000 0.5000 0.0000
0.5000 0.0000 0.0000
0.0000 0.0000 0.5000
0.5000 0.5000 0.5000
0.0000 0.0000 0.0000
```

Results
- M_tot: 0.88 μB per atom
- Mass density: 11.18 g/cm³
- Fermi-level density of states: 1.5228 states/eV/atom


Which structure is the most stable? The one labeled entry P.


Entry P
Below is an optimized crystal structure of Si2Os2Pd, with properties calculated at the PBE-GGA level.

POSCAR file:
```
Si2Os2Pd
1.0
-4.9827 -1.6229 4.7992
4.8188 0.5593 5.1923
-0.6192 2.7306 0.2805
Pd Os Si
2 4 4
direct
0.0000 0.0000 0.0000
0.5000 0.5000 0.0000
0.8567 0.6433 0.0000
0.3567 0.8567 0.0000
0.6433 0.1433 0.0000
0.1433 0.3567 0.0000
0.1538 0.6538 0.5000
0.3462 0.1538 0.5000
0.6538 0.8462 0.5000
0.8462 0.3462 0.5000
```

Results
- M_tot: 0.00 μB per atom
- Mass density: 12.69 g/cm³
- Fermi-level density of states: 0.7515 states/eV/atom


Entry Q
Below is an optimized crystal structure of Si2Os2Pd, with properties calculated at the PBE-GGA level.

POSCAR file:
```
Si2Os2Pd
1.0
7.0183 0.0000 0.0000
0.0000 7.0183 0.0000
0.0000 0.0000 2.8214
Si Os Pd
4 4 2
direct
0.1475 0.3525 0.0000
0.8525 0.6475 0.0000
0.3525 0.8525 0.0000
0.6475 0.1475 0.0000
0.6498 0.8502 0.5000
0.1498 0.6498 0.5000
0.8502 0.3502 0.5000
0.3502 0.1498 0.5000
0.5000 0.5000 0.0000
0.0000 0.0000 0.0000
```

Results
- M_tot: 0.00 μB per atom
- Mass density: 12.98 g/cm³
- Fermi-level density of states: 0.6614 states/eV/atom


Which structure is the most stable? The one labeled entry Q.